[1]
# La4Sm4Ho3 (PBE-GGA, optimized geometry)
# M_tot ... 0.00 μB per atom
# VASP energy ... -4.6398 eV per atom
# Energy of formation ... 116.5 meV/atom
# V ... 35.20 Å³/atom
# Symmetry ... Immm, No. 71
data_La4Sm4Ho3
_symmetry_space_group_name_H-M 'P 1'
_symmetry_Int_Tables_number 1
_symmetry_space_group_name_Hall 'P 1'
_cell_length_a 3.6632
_cell_length_b 9.6010
_cell_length_c 12.1493
_cell_angle_alpha 113.27
_cell_angle_beta 98.67
_cell_angle_gamma 90.00
loop_
_atom_site_label
_atom_site_fract_x
_atom_site_fract_y
_atom_site_fract_z
Ho1 0.0000 0.5000 0.0000
Ho2 0.8969 0.8969 0.7937
Ho3 0.1031 0.1031 0.2063
La1 0.6445 0.8131 0.2890
La2 0.6445 0.4759 0.2890
La3 0.3555 0.5241 0.7110
La4 0.3555 0.1869 0.7110
Sm1 0.5000 0.1876 0.0000
Sm2 0.5000 0.8124 0.0000
Sm3 0.2663 0.7663 0.5326
Sm4 0.7337 0.2337 0.4674


[2]
# La6Sm2Ho (PBE-GGA, optimized geometry)
# M_tot ... 0.00 μB per atom
# VASP energy ... -4.7255 eV per atom
# Energy of formation ... 116.8 meV/atom
# V ... 35.52 Å³/atom
# Symmetry ... Cmmm, No. 65
data_La6Sm2Ho
_symmetry_space_group_name_H-M 'P 1'
_symmetry_Int_Tables_number 1
_symmetry_space_group_name_Hall 'P 1'
_cell_length_a 3.7032
_cell_length_b 10.2131
_cell_length_c 10.2131
_cell_angle_alpha 55.85
_cell_angle_beta 90.00
_cell_angle_gamma 90.00
loop_
_atom_site_label
_atom_site_fract_x
_atom_site_fract_y
_atom_site_fract_z
La1 0.0000 0.4931 0.8364
La2 0.0000 0.5069 0.1636
La3 0.0000 0.8364 0.4931
La4 0.5000 0.6797 0.3203
La5 0.5000 0.3203 0.6797
La6 0.0000 0.1636 0.5069
Sm1 0.5000 0.1720 0.1720
Sm2 0.5000 0.8280 0.8280
Ho1 0.0000 0.0000 0.0000


[3]
# LaSm3Ho3 (PBE-GGA, optimized geometry)
# M_tot ... 0.00 μB per atom
# VASP energy ... -4.6636 eV per atom
# Energy of formation ... 24.7 meV/atom
# V ... 33.37 Å³/atom
# Symmetry ... P6_3/m, No. 176
data_LaSm3Ho3
_symmetry_space_group_name_H-M 'P 1'
_symmetry_Int_Tables_number 1
_symmetry_space_group_name_Hall 'P 1'
_cell_length_a 5.7768
_cell_length_b 9.6628
_cell_length_c 9.6628
_cell_angle_alpha 120.00
_cell_angle_beta 90.00
_cell_angle_gamma 90.00
loop_
_atom_site_label
_atom_site_fract_x
_atom_site_fract_y
_atom_site_fract_z
La1 0.2500 0.6667 0.3333
La2 0.7500 0.3333 0.6667
Ho1 0.2500 0.8135 0.7674
Ho2 0.7500 0.0461 0.8135
Ho3 0.7500 0.7674 0.9539
Ho4 0.2500 0.9539 0.1865
Ho5 0.7500 0.1865 0.2326
Ho6 0.2500 0.2326 0.0461
Sm1 0.7500 0.6202 0.5249
Sm2 0.7500 0.4751 0.0953
Sm3 0.2500 0.3798 0.4751
Sm4 0.7500 0.9047 0.3798
Sm5 0.2500 0.5249 0.9047
Sm6 0.2500 0.0953 0.6202


[4]
# La2Sm5Ho12 (PBE-GGA, optimized geometry)
# M_tot ... 0.00 μB per atom
# VASP energy ... -4.5159 eV per atom
# Energy of formation ... 135.9 meV/atom
# V ... 33.18 Å³/atom
# Symmetry ... C2/m, No. 12
data_La2Sm5Ho12
_symmetry_space_group_name_H-M 'P 1'
_symmetry_Int_Tables_number 1
_symmetry_space_group_name_Hall 'P 1'
_cell_length_a 9.3053
_cell_length_b 12.4047
_cell_length_c 8.6133
_cell_angle_alpha 132.54
_cell_angle_beta 90.00
_cell_angle_gamma 112.03
loop_
_atom_site_label
_atom_site_fract_x
_atom_site_fract_y
_atom_site_fract_z
La1 0.3170 0.0000 0.0000
La2 0.6830 0.0000 0.0000
Sm1 0.7692 0.5384 0.1129
Sm2 0.7011 0.4021 0.3901
Sm3 0.0000 0.0000 0.5000
Sm4 0.2308 0.4616 0.8871
Sm5 0.2989 0.5979 0.6099
Ho1 0.0873 0.1746 0.2943
Ho2 0.1838 0.7460 0.4002
Ho3 0.4417 0.8833 0.2144
Ho4 0.9127 0.8254 0.7057
Ho5 0.0250 0.6928 0.9367
Ho6 0.9750 0.3072 0.0633
Ho7 0.3322 0.3072 0.0633
Ho8 0.6678 0.6928 0.9367
Ho9 0.5623 0.7460 0.4002
Ho10 0.8162 0.2540 0.5998
Ho11 0.5583 0.1167 0.7856
Ho12 0.4377 0.2540 0.5998


[5]
# La2Sm12Ho5 (PBE-GGA, optimized geometry)
# M_tot ... 0.00 μB per atom
# VASP energy ... -4.5685 eV per atom
# Energy of formation ... 135.4 meV/atom
# V ... 34.06 Å³/atom
# Symmetry ... C2/m, No. 12
data_La2Sm12Ho5
_symmetry_space_group_name_H-M 'P 1'
_symmetry_Int_Tables_number 1
_symmetry_space_group_name_Hall 'P 1'
_cell_length_a 9.3521
_cell_length_b 12.5933
_cell_length_c 8.6926
_cell_angle_alpha 132.85
_cell_angle_beta 90.00
_cell_angle_gamma 111.80
loop_
_atom_site_label
_atom_site_fract_x
_atom_site_fract_y
_atom_site_fract_z
Sm1 0.0242 0.6886 0.9286
Sm2 0.4334 0.2509 0.5931
Sm3 0.6644 0.6886 0.9286
Sm4 0.9093 0.8186 0.7001
Sm5 0.5666 0.7491 0.4069
Sm6 0.3356 0.3114 0.0714
Sm7 0.0907 0.1814 0.2999
Sm8 0.1826 0.7491 0.4069
Sm9 0.8174 0.2509 0.5931
Sm10 0.9758 0.3114 0.0714
Sm11 0.5637 0.1274 0.7932
Sm12 0.4363 0.8726 0.2068
Ho1 0.0000 0.0000 0.5000
Ho2 0.6997 0.3994 0.3831
Ho3 0.2305 0.4610 0.8887
Ho4 0.3003 0.6006 0.6169
Ho5 0.7695 0.5390 0.1113
La1 0.3213 0.0000 0.0000
La2 0.6787 0.0000 0.0000


[6]
# La6Sm5Ho (PBE-GGA, optimized geometry)
# M_tot ... 0.00 μB per atom
# VASP energy ... -4.7923 eV per atom
# Energy of formation ... 19.2 meV/atom
# V ... 35.16 Å³/atom
# Symmetry ... P-1, No. 2
data_La6Sm5Ho
_symmetry_space_group_name_H-M 'P 1'
_symmetry_Int_Tables_number 1
_symmetry_space_group_name_Hall 'P 1'
_cell_length_a 6.3254
_cell_length_b 7.4122
_cell_length_c 9.7352
_cell_angle_alpha 67.62
_cell_angle_beta 88.92
_cell_angle_gamma 89.93
loop_
_atom_site_label
_atom_site_fract_x
_atom_site_fract_y
_atom_site_fract_z
Sm1 0.3330 0.8335 0.3327
Sm2 0.6670 0.1665 0.6673
Sm3 0.6655 0.6667 0.6666
Sm4 0.0000 0.5000 0.0000
Sm5 0.3345 0.3333 0.3334
La1 0.8344 0.5846 0.3322
La2 0.5002 0.7514 0.9999
La3 0.8344 0.0835 0.3322
La4 0.4998 0.2486 0.0001
La5 0.1656 0.4154 0.6678
La6 0.1656 0.9165 0.6678
Ho1 0.0000 0.0000 0.0000


[7]
# La5Sm8Ho (PBE-GGA, optimized geometry)
# M_tot ... 0.00 μB per atom
# VASP energy ... -4.7346 eV per atom
# Energy of formation ... 48.9 meV/atom
# V ... 34.83 Å³/atom
# Symmetry ... P1, No. 1
data_La5Sm8Ho
_symmetry_space_group_name_H-M 'P 1'
_symmetry_Int_Tables_number 1
_symmetry_space_group_name_Hall 'P 1'
_cell_length_a 7.1966
_cell_length_b 9.1056
_cell_length_c 9.7119
_cell_angle_alpha 114.62
_cell_angle_beta 111.82
_cell_angle_gamma 101.47
loop_
_atom_site_label
_atom_site_fract_x
_atom_site_fract_y
_atom_site_fract_z
La1 0.7425 0.5508 0.7512
La2 0.7694 0.8254 0.1684
La3 0.1624 0.9584 0.8706
La4 0.0777 0.3780 0.9956
La5 0.5478 0.1031 0.5846
Sm1 0.2706 0.8243 0.1625
Sm2 0.5725 0.3764 0.9971
Sm3 0.7070 0.2568 0.3199
Sm4 0.6182 0.6795 0.4363
Sm5 0.1189 0.6754 0.4331
Sm6 0.6620 0.9635 0.8767
Sm7 0.0534 0.1080 0.5871
Sm8 0.2014 0.2493 0.3151
Ho1 0.2462 0.5511 0.7516


[8]
# La7SmHo3 (PBE-GGA, optimized geometry)
# M_tot ... 0.00 μB per atom
# VASP energy ... -4.6856 eV per atom
# Energy of formation ... 127.6 meV/atom
# V ... 35.34 Å³/atom
# Symmetry ... P-1, No. 2
data_La7SmHo3
_symmetry_space_group_name_H-M 'P 1'
_symmetry_Int_Tables_number 1
_symmetry_space_group_name_Hall 'P 1'
_cell_length_a 6.8014
_cell_length_b 6.6329
_cell_length_c 8.9240
_cell_angle_alpha 81.23
_cell_angle_beta 99.91
_cell_angle_gamma 84.39
loop_
_atom_site_label
_atom_site_fract_x
_atom_site_fract_y
_atom_site_fract_z
Ho1 0.5000 0.0000 0.0000
Ho2 0.9261 0.1793 0.8334
Ho3 0.0739 0.8207 0.1666
La1 0.7751 0.7071 0.7929
La2 0.2659 0.9816 0.5875
La3 0.2891 0.5494 0.8556
La4 0.7341 0.0184 0.4125
La5 0.2249 0.2929 0.2071
La6 0.0000 0.5000 0.5000
La7 0.7109 0.4506 0.1444
Sm1 0.5000 0.5000 0.5000